Here is a relaxed structure of CaZnFe from the Alexandria database. Energies are from PBE-GGA.

Lattice parameters (Å, degrees): 4.554 4.554 4.554 60.00 60.00 60.00
Fractional coordinates of all 3 atoms:
Zn1 0.000 0.000 0.000
Fe1 0.750 0.750 0.750
Ca1 0.500 0.500 0.500

Computed properties:
Uncorrected energy: -3.37 eV/atom